ZnPbW2 | GGA-PBE | relaxed

POSCAR file:
```
ZnPbW2
1.0
9.625 0.004 0.003
9.167 2.934 0.003
9.167 1.434 2.560
Pb W Zn
1 2 1
Cartesian
20.969 3.279 1.924
27.786 4.345 2.550
14.152 2.213 1.299
6.990 1.093 0.641
```

Results
Size of the total moment   0.000 μB per atom
E above lowest polymorph   0.4060 eV/atom
E   -27.2 eV per cell
Space group   R-3m
Energy of formation from the pure elements   0.9139 eV/atom